(1)
# Y5Mg2ZnRu2 PBE optimized geometry
data_Y5Mg2ZnRu2
_cell_length_a 11.508
_cell_length_b 11.508
_cell_length_c 3.791
_cell_angle_alpha 90.00
_cell_angle_beta 90.00
_cell_angle_gamma 90.00
_symmetry_space_group_name_H-M 'P 4/m b m'
_symmetry_Int_Tables_number 127
_symmetry_space_group_name_Hall '-P 4 2ab'
loop_
_atom_site_label
_atom_site_type_symbol
_atom_site_fract_x
_atom_site_fract_y
_atom_site_fract_z
_atom_site_occupancy
Y1 Y 0.000 0.500 0.000 1
Y2 Y 0.075 0.205 0.000 1
Mg1 Mg 0.176 0.676 0.500 1
Zn1 Zn 0.000 0.000 0.500 1
Ru1 Ru 0.129 0.371 0.500 1
# size of the total moment	0.001	μB per cell
# density of states at the Fermi level	18.64	states/eV per cell
# formation energy from the elements	-217	meV/atom

***

(2)
# LiSnB PBE optimized geometry
data_LiSnB
_cell_length_a 7.265
_cell_length_b 6.101
_cell_length_c 5.449
_cell_angle_alpha 90.00
_cell_angle_beta 122.38
_cell_angle_gamma 90.00
_symmetry_space_group_name_H-M 'C 1 2 1'
_symmetry_Int_Tables_number 5
_symmetry_space_group_name_Hall 'C 2y'
loop_
_atom_site_label
_atom_site_type_symbol
_atom_site_fract_x
_atom_site_fract_y
_atom_site_fract_z
_atom_site_occupancy
Li1 Li 0.193 0.000 0.487 1
Sn1 Sn 0.155 0.660 0.895 1
B1 B 0.080 0.307 0.671 1
# size of the total moment	0.000	μB per cell
# density of states at the Fermi level	1.89	states/eV per cell
# formation energy from the elements	191	meV/atom
# relative energy among the computed polymorphs	280.8	meV/atom

***

(3)
# BeGeAu4 PBE optimized geometry
data_BeGeAu4
_cell_length_a 9.564
_cell_length_b 8.216
_cell_length_c 5.441
_cell_angle_alpha 90.00
_cell_angle_beta 105.52
_cell_angle_gamma 90.00
_symmetry_space_group_name_H-M 'C 1 2/c 1'
_symmetry_Int_Tables_number 15
_symmetry_space_group_name_Hall '-C 2yc'
loop_
_atom_site_label
_atom_site_type_symbol
_atom_site_fract_x
_atom_site_fract_y
_atom_site_fract_z
_atom_site_occupancy
Be1 Be 0.000 0.008 0.250 1
Ge1 Ge 0.000 0.486 0.250 1
Au1 Au 0.093 0.230 0.019 1
Au2 Au 0.210 0.095 0.582 1
# size of the total moment	0.000	μB per cell
# density of states at the Fermi level	7.02	states/eV per cell
# formation energy from the elements	-27	meV/atom

***

(4)
# Ca2ZnCr PBE optimized geometry
data_Ca2ZnCr
_cell_length_a 4.298
_cell_length_b 4.451
_cell_length_c 6.149
_cell_angle_alpha 90.00
_cell_angle_beta 110.37
_cell_angle_gamma 90.00
_symmetry_space_group_name_H-M 'P 1 m 1'
_symmetry_Int_Tables_number 6
_symmetry_space_group_name_Hall 'P -2y'
loop_
_atom_site_label
_atom_site_type_symbol
_atom_site_fract_x
_atom_site_fract_y
_atom_site_fract_z
_atom_site_occupancy
Ca1 Ca 0.000 0.000 0.000 1
Ca2 Ca 0.293 0.500 0.587 1
Zn1 Zn 0.711 0.000 0.423 1
Cr1 Cr 0.586 0.500 0.172 1
# size of the total moment	4.361	μB per cell
# density of states at the Fermi level	2.86	states/eV per cell
# formation energy from the elements	195	meV/atom

***

(5)
# CdMo3 PBE optimized geometry
data_CdMo3
_cell_length_a 9.647
_cell_length_b 2.678
_cell_length_c 5.250
_cell_angle_alpha 90.00
_cell_angle_beta 95.96
_cell_angle_gamma 90.00
_symmetry_space_group_name_H-M 'C 1 2/m 1'
_symmetry_Int_Tables_number 12
_symmetry_space_group_name_Hall '-C 2y'
loop_
_atom_site_label
_atom_site_type_symbol
_atom_site_fract_x
_atom_site_fract_y
_atom_site_fract_z
_atom_site_occupancy
Cd1 Cd 0.000 0.000 0.000 1
Mo1 Mo 0.000 0.500 0.500 1
Mo2 Mo 0.249 0.000 0.745 1
# size of the total moment	0.000	μB per cell
# density of states at the Fermi level	5.86	states/eV per cell
# formation energy from the elements	470	meV/atom
# relative energy among the computed polymorphs	250.6	meV/atom

***

(6)
# CuSiAu PBE optimized geometry
data_CuSiAu
_cell_length_a 3.426
_cell_length_b 3.426
_cell_length_c 7.680
_cell_angle_alpha 90.00
_cell_angle_beta 90.00
_cell_angle_gamma 90.00
_symmetry_space_group_name_H-M 'I 4 m m'
_symmetry_Int_Tables_number 107
_symmetry_space_group_name_Hall 'I 4 -2'
loop_
_atom_site_label
_atom_site_type_symbol
_atom_site_fract_x
_atom_site_fract_y
_atom_site_fract_z
_atom_site_occupancy
Cu1 Cu 0.000 0.000 0.000 1
Si1 Si 0.000 0.000 0.326 1
Au1 Au 0.000 0.000 0.661 1
# size of the total moment	0.000	μB per cell
# density of states at the Fermi level	1.62	states/eV per cell
# energy relative to the elements, uncorrected	71	meV per atom
# relative energy among the computed polymorphs	82.6	meV/atom

***

(7)
# SrLi2Os PBE optimized geometry
data_SrLi2Os
_cell_length_a 2.8849
_cell_length_b 2.8849
_cell_length_c 32.0049
_cell_angle_alpha 90.00
_cell_angle_beta 90.00
_cell_angle_gamma 120.00
_symmetry_space_group_name_H-M 'R -3 m'
_symmetry_Int_Tables_number 166
_symmetry_space_group_name_Hall '-R 3 2"'
loop_
_atom_site_label
_atom_site_type_symbol
_atom_site_fract_x
_atom_site_fract_y
_atom_site_fract_z
_atom_site_occupancy
Sr1 Sr 0.0000 0.0000 0.0000 1
Li1 Li 0.0000 0.0000 0.2345 1
Os1 Os 0.0000 0.0000 0.5000 1
# size of the total moment	0.373	μB per cell
# density of states at the Fermi level	9.89	states/eV per cell
# formation energy from the elements	823	meV/atom
# relative energy among the computed polymorphs	326.9	meV/atom

***

(8)
# CaZnCl2 PBE optimized geometry
data_CaZnCl2
_cell_length_a 4.296
_cell_length_b 3.744
_cell_length_c 7.026
_cell_angle_alpha 90.00
_cell_angle_beta 99.94
_cell_angle_gamma 90.00
_symmetry_space_group_name_H-M 'P 1 m 1'
_symmetry_Int_Tables_number 6
_symmetry_space_group_name_Hall 'P -2y'
loop_
_atom_site_label
_atom_site_type_symbol
_atom_site_fract_x
_atom_site_fract_y
_atom_site_fract_z
_atom_site_occupancy
Ca1 Ca 0.000 0.000 0.000 1
Zn1 Zn 0.047 0.500 0.379 1
Cl1 Cl 0.479 0.500 0.951 1
Cl2 Cl 0.876 0.000 0.613 1
# size of the total moment	0.000	μB per cell
# density of states at the Fermi level	0.00	states/eV per cell
# energy relative to the elements, uncorrected	-1339	meV per atom
# relative energy among the computed polymorphs	199.4	meV/atom

***

(9)
# Sm4Ho6Tm19 PBE optimized geometry
data_Sm4Ho6Tm19
_cell_length_a 12.347
_cell_length_b 12.347
_cell_length_c 12.347
_cell_angle_alpha 90.00
_cell_angle_beta 90.00
_cell_angle_gamma 90.00
_symmetry_space_group_name_H-M 'I 2 3'
_symmetry_Int_Tables_number 197
_symmetry_space_group_name_Hall 'I 2 2 3'
loop_
_atom_site_label
_atom_site_type_symbol
_atom_site_fract_x
_atom_site_fract_y
_atom_site_fract_z
_atom_site_occupancy
Sm1 Sm 0.179 0.179 0.179 1
Ho1 Ho 0.000 0.128 0.500 1
Tm1 Tm 0.000 0.000 0.000 1
Tm2 Tm 0.000 0.000 0.263 1
Tm3 Tm 0.063 0.275 0.737 1
# size of the total moment	0.008	μB per cell
# density of states at the Fermi level	88.23	states/eV per cell
# formation energy from the elements	397	meV/atom

***

(10)
# Nd2Mg8Sc PBE optimized geometry
data_Nd2Mg8Sc
_cell_length_a 16.041
_cell_length_b 5.050
_cell_length_c 7.208
_cell_angle_alpha 90.00
_cell_angle_beta 107.16
_cell_angle_gamma 90.00
_symmetry_space_group_name_H-M 'C 1 2/m 1'
_symmetry_Int_Tables_number 12
_symmetry_space_group_name_Hall '-C 2y'
loop_
_atom_site_label
_atom_site_type_symbol
_atom_site_fract_x
_atom_site_fract_y
_atom_site_fract_z
_atom_site_occupancy
Nd1 Nd 0.221 0.000 0.151 1
Mg1 Mg 0.022 0.000 0.222 1
Mg2 Mg 0.085 0.500 0.947 1
Mg3 Mg 0.140 0.000 0.637 1
Mg4 Mg 0.167 0.500 0.384 1
Sc1 Sc 0.000 0.500 0.500 1
# size of the total moment	0.000	μB per cell
# density of states at the Fermi level	13.89	states/eV per cell
# formation energy from the elements	-40	meV/atom

***

(11)
# Si2IrSe PBE optimized geometry
data_Si2IrSe
_cell_length_a 5.617
_cell_length_b 5.617
_cell_length_c 10.836
_cell_angle_alpha 90.00
_cell_angle_beta 90.00
_cell_angle_gamma 90.00
_symmetry_space_group_name_H-M 'I -4 2 d'
_symmetry_Int_Tables_number 122
_symmetry_space_group_name_Hall 'I -4 2bw'
loop_
_atom_site_label
_atom_site_type_symbol
_atom_site_fract_x
_atom_site_fract_y
_atom_site_fract_z
_atom_site_occupancy
Si1 Si 0.212 0.250 0.125 1
Ir1 Ir 0.000 0.000 0.000 1
Se1 Se 0.000 0.000 0.500 1
# size of the total moment	0.000	μB per cell
# density of states at the Fermi level	8.65	states/eV per cell
# energy relative to the elements, uncorrected	-98	meV per atom

***

Number 1: electronic total energy -5.7506 eV per atom. Number 2: electronic total energy -4.0072 eV per atom. Number 3: electronic total energy -3.6030 eV per atom. Number 4: electronic total energy -3.5306 eV per atom. Number 5: electronic total energy -7.8826 eV per atom. Number 6: electronic total energy -4.1945 eV per atom. Number 7: electronic total energy -3.3617 eV per atom. Number 8: electronic total energy -3.0810 eV per atom. Number 9: electronic total energy -4.1302 eV per atom. Number 10: electronic total energy -2.6423 eV per atom. Number 11: electronic total energy -5.8961 eV per atom.